Below is a geometry-optimized TaCu2Re structure, with properties calculated at the PBE level.

The calculation puts the offset from the most stable computed form at 0.1594 eV/atom. The value obtained for the magnetization is 0.00 μB per cell. For the formation energy from the elements, the calculation gives 0.261 eV/atom. As for the space group: No. 123. The value obtained for the density of states at the Fermi level is 0.51 states/eV per atom. As for the uncorrected energy: -7.863 eV per atom.

Unit cell a=2.6531 b=2.6531 c=8.1141 alpha=90.00 beta=90.00 gamma=90.00
With the nearest neighbours (Å) after each atom.
Atoms (fractional coordinates):
Ta 0.0000 0.0000 0.0000  4 Ta 2.65, 8 Cu 2.81
Cu 0.5000 0.5000 0.2577  4 Cu 2.65, 4 Re 2.72, 4 Ta 2.81
Cu 0.5000 0.5000 0.7423  4 Cu 2.65, 4 Re 2.72, 4 Ta 2.81
Re 0.0000 0.0000 0.5000  4 Re 2.65, 8 Cu 2.72

Below is a geometry-optimized RbCuTeSe3 structure, with properties calculated at the PBE level.

The value obtained for the magnetization is 0.00 μB per cell. As for the space group: No. 11. The value obtained for the density of states at the Fermi level is 0.11 states/eV per atom. As for the uncorrected energy: -3.507 eV per atom.

Unit cell a=9.5220 b=4.1424 c=9.6574 alpha=90.00 beta=110.33 gamma=90.00
With the nearest neighbours (Å) after each atom.
Atoms (fractional coordinates):
Rb 0.2046 0.2500 0.2490  7 Se 3.49-3.63, 1 Cu 3.77
Rb 0.7954 0.7500 0.7510  7 Se 3.49-3.63, 1 Cu 3.77
Cu 0.0711 0.2500 0.5736  4 Se 2.47-2.58, 2 Cu 2.61
Cu 0.9289 0.7500 0.4264  4 Se 2.47-2.58, 2 Cu 2.61
Te 0.3279 0.7500 0.8453  6 Se 2.77-2.92
Te 0.6721 0.2500 0.1547  6 Se 2.77-2.92
Se 0.1291 0.2500 0.8550  1 Cu 2.58, 2 Te 2.83
Se 0.2044 0.7500 0.5394  3 Cu 2.47-2.51
Se 0.4705 0.7500 0.1664  3 Te 2.85-2.92
Se 0.5295 0.2500 0.8336  3 Te 2.85-2.92
Se 0.7956 0.2500 0.4606  3 Cu 2.47-2.51
Se 0.8709 0.7500 0.1450  1 Cu 2.58, 2 Te 2.83

Below is a geometry-optimized LaPuIrO6 structure, with properties calculated at the PBE level.

The value obtained for the magnetization is 3.95 μB per cell. As for the space group: No. 163. The value obtained for the density of states at the Fermi level is 0.58 states/eV per atom. As for the uncorrected energy: -8.648 eV per atom.

Unit cell a=5.5156 b=5.5156 c=9.4841 alpha=90.00 beta=90.00 gamma=120.00
With the nearest neighbours (Å) after each atom.
Atoms (fractional coordinates):
La 0.3333 0.6667 0.2500  6 O 2.41
La 0.6667 0.3333 0.7500  6 O 2.41
Pu 0.0000 0.0000 0.0000  6 O 2.15
Pu 0.0000 0.0000 0.5000  6 O 2.15
Ir 0.3333 0.6667 0.7500  6 O 2.03
Ir 0.6667 0.3333 0.2500  6 O 2.03
O 0.0557 0.3503 0.6246  1 Ir 2.03, 1 Pu 2.15
O 0.0557 0.7054 0.8754  1 Ir 2.03, 1 Pu 2.15
O 0.2946 0.3503 0.8754  1 Ir 2.03, 1 Pu 2.15
O 0.2946 0.9443 0.6246  1 Ir 2.03, 1 Pu 2.15
O 0.3503 0.0557 0.1246  1 Ir 2.03, 1 Pu 2.15
O 0.3503 0.2946 0.3754  1 Ir 2.03, 1 Pu 2.15
O 0.6497 0.7054 0.6246  1 Ir 2.03, 1 Pu 2.15
O 0.6497 0.9443 0.8754  1 Ir 2.03, 1 Pu 2.15
O 0.7054 0.0557 0.3754  1 Ir 2.03, 1 Pu 2.15
O 0.7054 0.6497 0.1246  1 Ir 2.03, 1 Pu 2.15
O 0.9443 0.2946 0.1246  1 Ir 2.03, 1 Pu 2.15
O 0.9443 0.6497 0.3754  1 Ir 2.03, 1 Pu 2.15

Below is a geometry-optimized ZnIrRh3 structure, with properties calculated at the PBE level.

The calculation puts the offset from the most stable computed form at 1.4674 eV/atom. The value obtained for the magnetization is 3.49 μB per cell. For the formation energy from the elements, the calculation gives 1.376 eV/atom. As for the space group: No. 221. The value obtained for the density of states at the Fermi level is 1.66 states/eV per atom. As for the uncorrected energy: -5.062 eV per atom.

Unit cell a=4.4449 b=4.4449 c=4.4449 alpha=90.00 beta=90.00 gamma=90.00
With the nearest neighbours (Å) after each atom.
Atoms (fractional coordinates):
Zn 0.0000 0.0000 0.0000  6 Rh 2.22
Ir 0.5000 0.5000 0.5000  12 Rh 3.14
Rh 0.0000 0.0000 0.5000  2 Zn 2.22
Rh 0.0000 0.5000 0.0000  2 Zn 2.22
Rh 0.5000 0.0000 0.0000  2 Zn 2.22

Below is a geometry-optimized YPaPtAu structure, with properties calculated at the PBE level.

The value obtained for the magnetization is 0.95 μB per cell. For the formation energy from the elements, the calculation gives -0.677 eV/atom. As for the space group: No. 216. The value obtained for the density of states at the Fermi level is 1.66 states/eV per atom. As for the uncorrected energy: -6.997 eV per atom.

Unit cell a=5.0417 b=5.0417 c=5.0417 alpha=60.00 beta=60.00 gamma=60.00
With the nearest neighbours (Å) after each atom.
Atoms (fractional coordinates):
Y 0.0000 0.0000 0.0000  4 Pt 3.09, 4 Au 3.09
Pa 0.5000 0.5000 0.5000  4 Pt 3.09, 4 Au 3.09
Pt 0.7500 0.7500 0.7500  4 Pa 3.09, 4 Y 3.09
Au 0.2500 0.2500 0.2500  4 Pa 3.09, 4 Y 3.09

Below is a geometry-optimized Pr8Tm3Mg structure, with properties calculated at the PBE level.

The value obtained for the magnetization is 0.00 μB per cell. For the formation energy from the elements, the calculation gives 0.520 eV/atom. As for the space group: No. 121. The value obtained for the density of states at the Fermi level is 1.52 states/eV per atom. As for the uncorrected energy: -3.917 eV per atom.

Unit cell a=8.4991 b=8.4991 c=8.4991 alpha=118.28 beta=118.28 gamma=93.00
With the nearest neighbours (Å) after each atom.
Atoms (fractional coordinates):
Pr 0.1249 0.1249 0.7438  3 Pr 3.16-3.40, 3 Tm 3.29-3.43, 1 Mg 3.35
Pr 0.2385 0.7310 0.0000  1 Tm 3.04, 1 Mg 3.13, 2 Pr 3.18-3.40
Pr 0.2690 0.2690 0.5075  1 Tm 3.04, 1 Mg 3.13, 2 Pr 3.18-3.40
Pr 0.3811 0.3811 0.2562  3 Pr 3.16-3.40, 3 Tm 3.29-3.43, 1 Mg 3.35
Pr 0.6189 0.8751 0.0000  3 Pr 3.16-3.40, 3 Tm 3.29-3.43, 1 Mg 3.35
Pr 0.7310 0.2385 0.0000  1 Tm 3.04, 1 Mg 3.13, 2 Pr 3.18-3.40
Pr 0.7615 0.7615 0.4925  1 Tm 3.04, 1 Mg 3.13, 2 Pr 3.18-3.40
Pr 0.8751 0.6189 0.0000  3 Pr 3.16-3.40, 3 Tm 3.29-3.43, 1 Mg 3.35
Tm 0.2500 0.7500 0.5000  4 Pr 3.43
Tm 0.5000 0.5000 0.0000  8 Pr 3.04-3.29
Tm 0.7500 0.2500 0.5000  4 Pr 3.43
Mg 0.0000 0.0000 0.0000  8 Pr 3.13-3.35